(1)
# HfZrNi PBE-GGA optimized geometry
data_HfZrNi
_cell_length_a 3.2157
_cell_length_b 3.2157
_cell_length_c 10.6679
_cell_angle_alpha 90.00
_cell_angle_beta 90.00
_cell_angle_gamma 90.00
_space_group_name_H-M_alt 'I 4 m m'
_space_group_IT_number 107
_space_group_name_Hall 'I 4 -2'
loop_
_atom_site_label
_atom_site_fract_x
_atom_site_fract_y
_atom_site_fract_z
Hf1 0.0000 0.0000 0.0000
Zr1 0.0000 0.0000 0.6959
Ni1 0.0000 0.0000 0.3572
# E_tot ... -8.39 eV per atom
# Total magnetization ... 0.00 μB/cell
# ρ ... 9.89 g/cm³
# DOS(E_F) ... 2.6 states/eV/f.u.
# Formation energy ... -0.2950 eV per atom

---

(2)
# HfZr2Ni2 PBE-GGA optimized geometry
data_HfZr2Ni2
_cell_length_a 7.6197
_cell_length_b 7.6197
_cell_length_c 3.0733
_cell_angle_alpha 90.00
_cell_angle_beta 90.00
_cell_angle_gamma 90.00
_space_group_name_H-M_alt 'P 4/m b m'
_space_group_IT_number 127
_space_group_name_Hall '-P 4 2ab'
loop_
_atom_site_label
_atom_site_fract_x
_atom_site_fract_y
_atom_site_fract_z
Hf1 0.0000 0.0000 0.0000
Zr1 0.1563 0.3437 0.0000
Ni1 0.1380 0.6380 0.5000
# E_tot ... -7.80 eV per atom
# Total magnetization ... 0.00 μB/cell
# ρ ... 8.90 g/cm³
# DOS(E_F) ... 3.8 states/eV/f.u.
# Formation energy ... -0.0740 eV per atom

---

(3)
# Hf2ZrNi PBE-GGA optimized geometry
data_Hf2ZrNi
_cell_length_a 3.2429
_cell_length_b 3.2429
_cell_length_c 26.5629
_cell_angle_alpha 90.00
_cell_angle_beta 90.00
_cell_angle_gamma 120.00
_space_group_name_H-M_alt 'R 3 m'
_space_group_IT_number 160
_space_group_name_Hall 'R 3 -2"'
loop_
_atom_site_label
_atom_site_fract_x
_atom_site_fract_y
_atom_site_fract_z
Hf1 0.0000 0.0000 0.0000
Hf2 0.0000 0.0000 0.1922
Zr1 0.0000 0.0000 0.7637
Ni1 0.0000 0.0000 0.5970
# E_tot ... -8.58 eV per atom
# Total magnetization ... 0.00 μB/cell
# ρ ... 10.44 g/cm³
# DOS(E_F) ... 4.9 states/eV/f.u.
# Formation energy ... -0.0206 eV per atom

---

(4)
# HfZrNi4 PBE-GGA optimized geometry
data_HfZrNi4
_cell_length_a 6.9482
_cell_length_b 6.9482
_cell_length_c 6.9482
_cell_angle_alpha 90.00
_cell_angle_beta 90.00
_cell_angle_gamma 90.00
_space_group_name_H-M_alt 'F -4 3 m'
_space_group_IT_number 216
_space_group_name_Hall 'F -4 2 3'
loop_
_atom_site_label
_atom_site_fract_x
_atom_site_fract_y
_atom_site_fract_z
Hf1 0.0000 0.0000 0.0000
Zr1 0.2500 0.2500 0.7500
Ni1 0.1252 0.1252 0.3748
# E_tot ... -7.38 eV per atom
# Total magnetization ... 0.00 μB/cell
# ρ ... 9.99 g/cm³
# DOS(E_F) ... 4.3 states/eV/f.u.
# Formation energy ... -0.4445 eV per atom

---

(5)
# Hf2ZrNi3 PBE-GGA optimized geometry
data_Hf2ZrNi3
_cell_length_a 7.9540
_cell_length_b 13.2552
_cell_length_c 4.4507
_cell_angle_alpha 90.00
_cell_angle_beta 123.96
_cell_angle_gamma 90.00
_space_group_name_H-M_alt 'C 1 2/c 1'
_space_group_IT_number 15
loop_
_space_group_symop_operation_xyz
'x,y,z'
'-x,-y,-z'
'-x,y,-z+1/2'
'x,-y,z+1/2'
'x+1/2,y+1/2,z'
'-x+1/2,-y+1/2,-z'
'-x+1/2,y+1/2,-z+1/2'
'x+1/2,-y+1/2,z+1/2'
loop_
_atom_site_label
_atom_site_fract_x
_atom_site_fract_y
_atom_site_fract_z
Hf1 0.0000 0.0861 0.2500
Hf2 0.0000 0.2619 0.7500
Zr1 0.0000 0.4240 0.2500
Ni1 0.2136 0.0913 0.9634
Ni2 0.2500 0.2500 0.5000
# E_tot ... -8.05 eV per atom
# Total magnetization ... 0.00 μB/cell
# ρ ... 10.65 g/cm³
# DOS(E_F) ... 5.5 states/eV/f.u.
# Formation energy ... -0.4186 eV per atom

---

(6)
# HfZrNi PBE-GGA optimized geometry
data_HfZrNi
_cell_length_a 5.2254
_cell_length_b 6.4950
_cell_length_c 6.4528
_cell_angle_alpha 90.00
_cell_angle_beta 90.00
_cell_angle_gamma 90.00
_space_group_name_H-M_alt 'I m a 2'
_space_group_IT_number 46
loop_
_space_group_symop_operation_xyz
'x,y,z'
'-x,-y,z'
'-x+1/2,y,z'
'x+1/2,-y,z'
'x+1/2,y+1/2,z+1/2'
'-x+1/2,-y+1/2,z+1/2'
'-x,y+1/2,z+1/2'
'x,-y+1/2,z+1/2'
loop_
_atom_site_label
_atom_site_fract_x
_atom_site_fract_y
_atom_site_fract_z
Hf1 0.2500 0.1646 0.0000
Zr1 0.2500 0.6619 0.8267
Ni1 0.0000 0.0000 0.6673
# E_tot ... -8.42 eV per atom
# Total magnetization ... 0.00 μB/cell
# ρ ... 9.96 g/cm³
# DOS(E_F) ... 3.7 states/eV/f.u.
# Formation energy ... -0.3291 eV per atom